[1]
Material: Na2ZrSiO5
Method: DFT, SCAN
State: single point on PBEsol structure

Computed properties:
Formation energy (no corrections) (eV/f.u.): -26.93

Cell lengths 5.468, 13.697, 13.872 Å; angles 119.29, 90.00, 90.00 degrees
Fractional coordinates of all 72 atoms:
O (0.277, 0.361, 0.209)
O (0.929, 0.971, 0.865)
Na (0.266, 0.432, 0.579)
Zr (0.262, 0.693, 0.565)
Na (0.743, 0.851, 0.681)
O (0.400, 0.041, 0.877)
O (0.900, 0.459, 0.123)
O (0.475, 0.730, 0.998)
Na (0.739, 0.328, 0.180)
Si (0.223, 0.408, 0.341)
Zr (0.236, 0.372, 0.065)
Na (0.766, 0.354, 0.924)
O (0.714, 0.458, 0.589)
Na (0.266, 0.146, 0.076)
O (0.571, 0.471, 0.865)
O (0.249, 0.849, 0.708)
O (0.600, 0.959, 0.123)
Na (0.234, 0.646, 0.076)
Na (0.761, 0.828, 0.180)
Zr (0.762, 0.807, 0.435)
Na (0.243, 0.649, 0.319)
O (0.286, 0.542, 0.411)
Zr (0.238, 0.193, 0.565)
Zr (0.764, 0.628, 0.935)
O (0.467, 0.765, 0.493)
Na (0.239, 0.172, 0.820)
O (0.749, 0.651, 0.292)
Zr (0.264, 0.872, 0.065)
Zr (0.736, 0.128, 0.935)
O (0.701, 0.129, 0.089)
O (0.932, 0.389, 0.358)
O (0.786, 0.958, 0.589)
Na (0.234, 0.932, 0.579)
O (0.568, 0.889, 0.358)
O (0.100, 0.541, 0.877)
O (0.799, 0.629, 0.089)
Si (0.220, 0.933, 0.841)
O (0.751, 0.151, 0.292)
Si (0.780, 0.067, 0.159)
Zr (0.738, 0.307, 0.435)
O (0.251, 0.349, 0.708)
O (0.402, 0.341, 0.383)
O (0.299, 0.871, 0.911)
O (0.071, 0.029, 0.135)
O (0.033, 0.265, 0.493)
Na (0.734, 0.568, 0.421)
O (0.429, 0.529, 0.135)
O (0.525, 0.270, 0.002)
O (0.902, 0.159, 0.617)
O (0.201, 0.371, 0.911)
O (0.777, 0.139, 0.791)
O (0.025, 0.230, 0.998)
O (0.723, 0.639, 0.791)
Si (0.723, 0.092, 0.659)
Na (0.757, 0.351, 0.681)
O (0.432, 0.111, 0.642)
O (0.068, 0.611, 0.642)
O (0.223, 0.861, 0.209)
Si (0.720, 0.567, 0.159)
Si (0.280, 0.433, 0.841)
Si (0.277, 0.908, 0.341)
Na (0.261, 0.672, 0.820)
Na (0.734, 0.854, 0.924)
Na (0.766, 0.068, 0.421)
O (0.598, 0.659, 0.617)
O (0.975, 0.770, 0.002)
O (0.098, 0.841, 0.383)
O (0.214, 0.042, 0.411)
Na (0.257, 0.149, 0.319)
Si (0.777, 0.592, 0.659)
O (0.967, 0.735, 0.507)
O (0.533, 0.235, 0.507)


[2]
Material: Na2CrSiCO7
Method: DFT, SCAN
State: single point on PBEsol structure

Computed properties:
Formation energy (no corrections) (eV/f.u.): -26.53

Cell lengths 5.183, 6.385, 8.933 Å; angles 90.00, 92.05, 90.00 degrees
Each line ends with the local moment (μB).
Fractional coordinates of all 24 atoms:
O (0.872, 0.250, 0.418)  -0.02
Si (0.291, 0.750, 0.429)  0.02
O (0.128, 0.750, 0.582)  -0.02
Na (0.760, 0.991, 0.236)  0.00
Na (0.760, 0.509, 0.236)  0.00
O (0.215, 0.541, 0.331)  -0.04
Cr (0.796, 0.750, 0.652)  2.00
Cr (0.204, 0.250, 0.348)  2.00
O (0.785, 0.041, 0.669)  -0.04
O (0.536, 0.750, 0.815)  -0.02
O (0.396, 0.250, 0.534)  0.03
O (0.785, 0.459, 0.669)  -0.04
O (0.464, 0.250, 0.185)  -0.02
C (0.723, 0.750, 0.920)  0.01
Si (0.709, 0.250, 0.571)  0.02
O (0.049, 0.250, 0.139)  -0.01
O (0.951, 0.750, 0.861)  -0.01
O (0.686, 0.750, 0.057)  0.00
O (0.215, 0.959, 0.331)  -0.04
Na (0.240, 0.491, 0.764)  0.00
O (0.604, 0.750, 0.466)  0.03
Na (0.240, 0.009, 0.764)  0.00
C (0.277, 0.250, 0.080)  0.01
O (0.314, 0.250, 0.943)  0.00